# AlAsF2 | Alexandria | meta-GGA SCAN | PBEsol geometry
# final energy: -148.70 eV/cell
# size of the total moment: 0.29 μB per atom
# formation energy without anion corrections: -538 meV per atom
# space-group type: Fm-3m, No. 225
data_AlAsF2
_space_group_name_H-M_alt 'P 1'
_space_group_IT_number 1
_cell_length_a 6.0190
_cell_length_b 6.0190
_cell_length_c 6.0190
_cell_angle_alpha 90.00
_cell_angle_beta 90.00
_cell_angle_gamma 90.00
loop_
_space_group_symop_operation_xyz
'x,y,z'
loop_
_atom_site_label
_atom_site_type_symbol
_atom_site_fract_x
_atom_site_fract_y
_atom_site_fract_z
_atom_site_occupancy
Al1 Al 0.0000 0.0000 0.0000 1
Al2 Al 0.0000 0.5000 0.5000 1
Al3 Al 0.5000 0.0000 0.5000 1
Al4 Al 0.5000 0.5000 0.0000 1
As1 As 0.0000 0.0000 0.5000 1
As2 As 0.0000 0.5000 0.0000 1
As3 As 0.5000 0.0000 0.0000 1
As4 As 0.5000 0.5000 0.5000 1
F1 F 0.2500 0.2500 0.2500 1
F2 F 0.2500 0.2500 0.7500 1
F3 F 0.2500 0.7500 0.2500 1
F4 F 0.2500 0.7500 0.7500 1
F5 F 0.7500 0.2500 0.2500 1
F6 F 0.7500 0.2500 0.7500 1
F7 F 0.7500 0.7500 0.2500 1
F8 F 0.7500 0.7500 0.7500 1


# CaPAuCl2 | Alexandria | meta-GGA SCAN | PBEsol geometry
# final energy: -107.56 eV/cell
# size of the total moment: 0.16 μB per atom
# formation energy without anion corrections: -478 meV per atom
# space-group type: P4/mmm, No. 123
data_CaPAuCl2
_space_group_name_H-M_alt 'P 1'
_space_group_IT_number 1
_cell_length_a 4.9620
_cell_length_b 4.9620
_cell_length_c 4.8696
_cell_angle_alpha 90.00
_cell_angle_beta 90.00
_cell_angle_gamma 90.00
loop_
_space_group_symop_operation_xyz
'x,y,z'
loop_
_atom_site_label
_atom_site_type_symbol
_atom_site_fract_x
_atom_site_fract_y
_atom_site_fract_z
_atom_site_occupancy
Ca1 Ca 0.0000 0.0000 0.0000 1
P1 P 0.5000 0.5000 0.0000 1
Au1 Au 0.5000 0.5000 0.5000 1
Cl1 Cl 0.0000 0.5000 0.5000 1
Cl2 Cl 0.5000 0.0000 0.5000 1


# MgSc2Ag | Alexandria | meta-GGA SCAN | PBEsol geometry
# final energy: -130.73 eV/cell
# size of the total moment: 0.00 μB per atom
# space-group type: Immm, No. 71
# E_form: -0.137 eV per atom
data_MgSc2Ag
_space_group_name_H-M_alt 'P 1'
_space_group_IT_number 1
_cell_length_a 4.3849
_cell_length_b 4.3989
_cell_length_c 8.5553
_cell_angle_alpha 90.00
_cell_angle_beta 90.00
_cell_angle_gamma 90.00
loop_
_space_group_symop_operation_xyz
'x,y,z'
loop_
_atom_site_label
_atom_site_type_symbol
_atom_site_fract_x
_atom_site_fract_y
_atom_site_fract_z
_atom_site_occupancy
Mg1 Mg 0.0000 0.0000 0.0000 1
Mg2 Mg 0.5000 0.5000 0.5000 1
Sc1 Sc 0.0000 0.5000 0.2496 1
Sc2 Sc 0.0000 0.5000 0.7504 1
Sc3 Sc 0.5000 0.0000 0.2504 1
Sc4 Sc 0.5000 0.0000 0.7496 1
Ag1 Ag 0.0000 0.0000 0.5000 1
Ag2 Ag 0.5000 0.5000 0.0000 1


# CuAsPt2 | Alexandria | meta-GGA SCAN | PBEsol geometry
# final energy: -352.44 eV/cell
# size of the total moment: 0.00 μB per atom
# space-group type: Cm, No. 8
# E_form: -0.111 eV per atom
data_CuAsPt2
_space_group_name_H-M_alt 'P 1'
_space_group_IT_number 1
_cell_length_a 9.1978
_cell_length_b 2.9998
_cell_length_c 4.3892
_cell_angle_alpha 90.00
_cell_angle_beta 107.81
_cell_angle_gamma 90.00
loop_
_space_group_symop_operation_xyz
'x,y,z'
loop_
_atom_site_label
_atom_site_type_symbol
_atom_site_fract_x
_atom_site_fract_y
_atom_site_fract_z
_atom_site_occupancy
Cu1 Cu 0.0000 0.0000 0.0000 1
Cu2 Cu 0.5000 0.5000 0.0000 1
As1 As 0.2293 0.5000 0.3319 1
As2 As 0.7293 0.0000 0.3319 1
Pt1 Pt 0.2511 0.0000 0.8410 1
Pt2 Pt 0.4716 0.0000 0.4835 1
Pt3 Pt 0.7511 0.5000 0.8410 1
Pt4 Pt 0.9716 0.5000 0.4835 1


# BeTl2Os | Alexandria | meta-GGA SCAN | PBEsol geometry
# final energy: -865.50 eV/cell
# size of the total moment: 0.00 μB per atom
# space-group type: Fm-3m, No. 225
# E_form: 1.144 eV per atom
# relative energy among the computed polymorphs: 482 meV per atom
data_BeTl2Os
_space_group_name_H-M_alt 'P 1'
_space_group_IT_number 1
_cell_length_a 6.5446
_cell_length_b 6.5446
_cell_length_c 6.5446
_cell_angle_alpha 90.00
_cell_angle_beta 90.00
_cell_angle_gamma 90.00
loop_
_space_group_symop_operation_xyz
'x,y,z'
loop_
_atom_site_label
_atom_site_type_symbol
_atom_site_fract_x
_atom_site_fract_y
_atom_site_fract_z
_atom_site_occupancy
Be1 Be 0.0000 0.0000 0.0000 1
Be2 Be 0.0000 0.5000 0.5000 1
Be3 Be 0.5000 0.0000 0.5000 1
Be4 Be 0.5000 0.5000 0.0000 1
Tl1 Tl 0.2500 0.2500 0.2500 1
Tl2 Tl 0.2500 0.2500 0.7500 1
Tl3 Tl 0.2500 0.7500 0.2500 1
Tl4 Tl 0.2500 0.7500 0.7500 1
Tl5 Tl 0.7500 0.2500 0.2500 1
Tl6 Tl 0.7500 0.2500 0.7500 1
Tl7 Tl 0.7500 0.7500 0.2500 1
Tl8 Tl 0.7500 0.7500 0.7500 1
Os1 Os 0.0000 0.0000 0.5000 1
Os2 Os 0.0000 0.5000 0.0000 1
Os3 Os 0.5000 0.0000 0.0000 1
Os4 Os 0.5000 0.5000 0.5000 1


# SrCaP | Alexandria | meta-GGA SCAN | PBEsol geometry
# final energy: -180.69 eV/cell
# size of the total moment: 0.33 μB per atom
# space-group type: Pnma, No. 62
# E_form: -0.945 eV per atom
data_SrCaP
_space_group_name_H-M_alt 'P 1'
_space_group_IT_number 1
_cell_length_a 7.7335
_cell_length_b 4.4623
_cell_length_c 9.2755
_cell_angle_alpha 90.00
_cell_angle_beta 90.00
_cell_angle_gamma 90.00
loop_
_space_group_symop_operation_xyz
'x,y,z'
loop_
_atom_site_label
_atom_site_type_symbol
_atom_site_fract_x
_atom_site_fract_y
_atom_site_fract_z
_atom_site_occupancy
Sr1 Sr 0.0391 0.2500 0.1689 1
Sr2 Sr 0.4609 0.7500 0.6689 1
Sr3 Sr 0.5391 0.2500 0.3311 1
Sr4 Sr 0.9609 0.7500 0.8311 1
Ca1 Ca 0.1342 0.2500 0.5644 1
Ca2 Ca 0.3658 0.7500 0.0644 1
Ca3 Ca 0.6342 0.2500 0.9356 1
Ca4 Ca 0.8658 0.7500 0.4356 1
P1 P 0.2416 0.7500 0.3714 1
P2 P 0.2584 0.2500 0.8714 1
P3 P 0.7416 0.7500 0.1286 1
P4 P 0.7584 0.2500 0.6286 1


# Li2NiMo | Alexandria | meta-GGA SCAN | PBEsol geometry
# final energy: -108.49 eV/cell
# size of the total moment: 0.00 μB per atom
# space-group type: Cmmm, No. 65
# E_form: 0.398 eV per atom
# relative energy among the computed polymorphs: 135 meV per atom
data_Li2NiMo
_space_group_name_H-M_alt 'P 1'
_space_group_IT_number 1
_cell_length_a 4.8088
_cell_length_b 8.9742
_cell_length_c 2.4349
_cell_angle_alpha 90.00
_cell_angle_beta 90.00
_cell_angle_gamma 90.00
loop_
_space_group_symop_operation_xyz
'x,y,z'
loop_
_atom_site_label
_atom_site_type_symbol
_atom_site_fract_x
_atom_site_fract_y
_atom_site_fract_z
_atom_site_occupancy
Li1 Li 0.2500 0.2500 0.0000 1
Li2 Li 0.2500 0.7500 0.0000 1
Li3 Li 0.7500 0.2500 0.0000 1
Li4 Li 0.7500 0.7500 0.0000 1
Ni1 Ni 0.0000 0.0000 0.5000 1
Ni2 Ni 0.5000 0.5000 0.5000 1
Mo1 Mo 0.0000 0.5000 0.5000 1
Mo2 Mo 0.5000 0.0000 0.5000 1


# Sc2NbMoCl | Alexandria | meta-GGA SCAN | PBEsol geometry
# final energy: -103.20 eV/cell
# size of the total moment: 0.00 μB per atom
# formation energy without anion corrections: 253 meV per atom
# space-group type: P4/mmm, No. 123
data_Sc2NbMoCl
_space_group_name_H-M_alt 'P 1'
_space_group_IT_number 1
_cell_length_a 4.6273
_cell_length_b 4.6273
_cell_length_c 4.4169
_cell_angle_alpha 90.00
_cell_angle_beta 90.00
_cell_angle_gamma 90.00
loop_
_space_group_symop_operation_xyz
'x,y,z'
loop_
_atom_site_label
_atom_site_type_symbol
_atom_site_fract_x
_atom_site_fract_y
_atom_site_fract_z
_atom_site_occupancy
Sc1 Sc 0.0000 0.5000 0.0000 1
Sc2 Sc 0.5000 0.0000 0.0000 1
Nb1 Nb 0.0000 0.0000 0.5000 1
Mo1 Mo 0.5000 0.5000 0.5000 1
Cl1 Cl 0.5000 0.5000 0.0000 1


# SrCa2F | Alexandria | meta-GGA SCAN | PBEsol geometry
# final energy: -102.16 eV/cell
# size of the total moment: 0.00 μB per atom
# formation energy without anion corrections: -1485 meV per atom
# space-group type: Fd-3m, No. 227
data_SrCa2F
_space_group_name_H-M_alt 'P 1'
_space_group_IT_number 1
_cell_length_a 7.3833
_cell_length_b 7.3833
_cell_length_c 7.3833
_cell_angle_alpha 60.00
_cell_angle_beta 60.00
_cell_angle_gamma 60.00
loop_
_space_group_symop_operation_xyz
'x,y,z'
loop_
_atom_site_label
_atom_site_type_symbol
_atom_site_fract_x
_atom_site_fract_y
_atom_site_fract_z
_atom_site_occupancy
Sr1 Sr 0.1250 0.1250 0.1250 1
Sr2 Sr 0.8750 0.8750 0.8750 1
Ca1 Ca 0.0000 0.5000 0.5000 1
Ca2 Ca 0.5000 0.0000 0.5000 1
Ca3 Ca 0.5000 0.5000 0.0000 1
Ca4 Ca 0.5000 0.5000 0.5000 1
F1 F 0.3750 0.3750 0.3750 1
F2 F 0.6250 0.6250 0.6250 1


# HgMoAu2 | Alexandria | meta-GGA SCAN | PBEsol geometry
# final energy: -240.11 eV/cell
# size of the total moment: 0.00 μB per atom
# space-group type: Pmmm, No. 47
# E_form: 0.313 eV per atom
data_HgMoAu2
_space_group_name_H-M_alt 'P 1'
_space_group_IT_number 1
_cell_length_a 2.7978
_cell_length_b 4.0771
_cell_length_c 6.0533
_cell_angle_alpha 90.00
_cell_angle_beta 90.00
_cell_angle_gamma 90.00
loop_
_space_group_symop_operation_xyz
'x,y,z'
loop_
_atom_site_label
_atom_site_type_symbol
_atom_site_fract_x
_atom_site_fract_y
_atom_site_fract_z
_atom_site_occupancy
Hg1 Hg 0.0000 0.0000 0.0000 1
Mo1 Mo 0.0000 0.0000 0.5000 1
Au1 Au 0.5000 0.5000 0.2700 1
Au2 Au 0.5000 0.5000 0.7300 1


# BaIn2Sb4 | Alexandria | meta-GGA SCAN | PBEsol geometry
# final energy: -1033.29 eV/cell
# size of the total moment: 0.00 μB per atom
# formation energy without anion corrections: -422 meV per atom
# space-group type: Pnma, No. 62
data_BaIn2Sb4
_space_group_name_H-M_alt 'P 1'
_space_group_IT_number 1
_cell_length_a 10.1543
_cell_length_b 4.5237
_cell_length_c 19.4102
_cell_angle_alpha 90.00
_cell_angle_beta 90.00
_cell_angle_gamma 90.00
loop_
_space_group_symop_operation_xyz
'x,y,z'
loop_
_atom_site_label
_atom_site_type_symbol
_atom_site_fract_x
_atom_site_fract_y
_atom_site_fract_z
_atom_site_occupancy
Ba1 Ba 0.2471 0.2500 0.0449 1
Ba2 Ba 0.2529 0.7500 0.5449 1
Ba3 Ba 0.7471 0.2500 0.4551 1
Ba4 Ba 0.7529 0.7500 0.9551 1
In1 In 0.1222 0.7500 0.2292 1
In2 In 0.1529 0.7500 0.8662 1
In3 In 0.3471 0.2500 0.3662 1
In4 In 0.3778 0.2500 0.7292 1
In5 In 0.6222 0.7500 0.2708 1
In6 In 0.6529 0.7500 0.6338 1
In7 In 0.8471 0.2500 0.1338 1
In8 In 0.8778 0.2500 0.7708 1
Sb1 Sb 0.9998 0.2500 0.9045 1
Sb2 Sb 0.0002 0.7500 0.0955 1
Sb3 Sb 0.0274 0.2500 0.6424 1
Sb4 Sb 0.0977 0.2500 0.4318 1
Sb5 Sb 0.2027 0.7500 0.7245 1
Sb6 Sb 0.2973 0.2500 0.2245 1
Sb7 Sb 0.4023 0.7500 0.9318 1
Sb8 Sb 0.4726 0.7500 0.1424 1
Sb9 Sb 0.4998 0.2500 0.5955 1
Sb10 Sb 0.5002 0.7500 0.4045 1
Sb11 Sb 0.5274 0.2500 0.8576 1
Sb12 Sb 0.5977 0.2500 0.0682 1
Sb13 Sb 0.7027 0.7500 0.7755 1
Sb14 Sb 0.7973 0.2500 0.2755 1
Sb15 Sb 0.9023 0.7500 0.5682 1
Sb16 Sb 0.9726 0.7500 0.3576 1


# La2YAg | Alexandria | meta-GGA SCAN | PBEsol geometry
# final energy: -291.62 eV/cell
# size of the total moment: 0.00 μB per atom
# space-group type: Immm, No. 71
# E_form: -0.098 eV per atom
# relative energy among the computed polymorphs: 63 meV per atom
data_La2YAg
_space_group_name_H-M_alt 'P 1'
_space_group_IT_number 1
_cell_length_a 3.7091
_cell_length_b 5.4672
_cell_length_c 11.3053
_cell_angle_alpha 90.00
_cell_angle_beta 90.00
_cell_angle_gamma 90.00
loop_
_space_group_symop_operation_xyz
'x,y,z'
loop_
_atom_site_label
_atom_site_type_symbol
_atom_site_fract_x
_atom_site_fract_y
_atom_site_fract_z
_atom_site_occupancy
La1 La 0.0000 0.0000 0.2232 1
La2 La 0.0000 0.0000 0.7768 1
La3 La 0.5000 0.5000 0.2768 1
La4 La 0.5000 0.5000 0.7232 1
Y1 Y 0.0000 0.5000 0.0000 1
Y2 Y 0.5000 0.0000 0.5000 1
Ag1 Ag 0.0000 0.5000 0.5000 1
Ag2 Ag 0.5000 0.0000 0.0000 1


Which of these has the highest size of the total moment?
SrCaP